First-principles (PBE) data for a geometry-optimized BaCa2Ru2 structure, as listed in Alexandria.

Symmetry: P4/mbm (127)
DOS at the Fermi energy in states/eV/atom: 0.918
Mass density in g/cm3: 4.947
Magnetic moment in μB/cell: 5.05
Total DFT energy (no corrections) in eV/atom: -4.486

Cell: 8.0148 8.0148 4.3850 Å, 90.00 90.00 90.00°
Closest atoms and distances in Å follow each position.
Fractional coordinates of all 10 atoms:
Ba: 0.0000 0.0000 0.0000  4 Ru 3.27
Ba: 0.5000 0.5000 0.0000  4 Ru 3.27
Ca: 0.1582 0.3418 0.5000  4 Ru 3.08
Ca: 0.3418 0.8418 0.5000  4 Ru 3.08
Ca: 0.6582 0.1582 0.5000  4 Ru 3.08
Ca: 0.8418 0.6582 0.5000  4 Ru 3.08
Ru: 0.1067 0.6067 0.0000  1 Ru 2.42
Ru: 0.3933 0.1067 0.0000  1 Ru 2.42
Ru: 0.6067 0.8933 0.0000  1 Ru 2.42
Ru: 0.8933 0.3933 0.0000  1 Ru 2.42